Below is crystalline Nd5DyHo2Sc at its relaxed geometry, with properties calculated at the GGA-PBE level.

Output
DOS(E_F) in states/eV/atom: 1.461
Spin magnetization in μB/atom: 0.00
V in Å³/f.u.: 301
Energy relative to the elements in eV per atom: 0.126
Energy in eV/atom: -4.7553

Lattice parameters (Å, degrees): 5.3724 21.8789 10.2492 90.00 90.00 90.00
Space group Cmcm (No. 63)
Unique sites:
Nd 0.0000 0.0000 0.0000 [4 per cell]
Nd 0.0000 0.1268 0.2500 [4 per cell]
Nd 0.0000 0.2213 0.5625 [8 per cell]
Nd 0.0000 0.4992 0.7500 [4 per cell]
Dy 0.0000 0.1014 0.7500 [4 per cell]
Ho 0.0000 0.3845 0.0022 [8 per cell]
Sc 0.0000 0.2867 0.2500 [4 per cell]

---

Below is crystalline Nd2Dy2HoSc at its relaxed geometry, with properties calculated at the GGA-PBE level.

Output
DOS(E_F) in states/eV/atom: 1.548
Spin magnetization in μB/atom: 0.00
V in Å³/f.u.: 187
Energy relative to the elements in eV per atom: 0.096
Energy in eV/atom: -4.8458

Lattice parameters (Å, degrees): 6.8850 5.6005 9.7028 90.00 90.00 90.00
Space group Pmma (No. 51)
Unique sites:
Nd 0.0000 0.0000 0.0000 [2 per cell]
Nd 0.2500 0.5000 0.1863 [2 per cell]
Dy 0.2500 0.0000 0.3332 [2 per cell]
Dy 0.2500 0.5000 0.8355 [2 per cell]
Ho 0.2500 0.0000 0.6532 [2 per cell]
Sc 0.0000 0.5000 0.5000 [2 per cell]

---

Below is crystalline NdDy2Ho5Sc at its relaxed geometry, with properties calculated at the GGA-PBE level.

Output
DOS(E_F) in states/eV/atom: 1.573
Spin magnetization in μB/atom: 0.00
V in Å³/f.u.: 283
Energy relative to the elements in eV per atom: 0.172
Energy in eV/atom: -4.6275

Lattice parameters (Å, degrees): 5.5538 19.6510 10.3606 90.00 90.00 90.00
Space group Cmc2_1 (No. 36)
Unique sites:
Nd 0.0000 0.0867 0.0000 [4 per cell]
Dy 0.0000 0.3862 0.2810 [4 per cell]
Dy 0.0000 0.3885 0.8609 [4 per cell]
Ho 0.0000 0.0193 0.2849 [4 per cell]
Ho 0.0000 0.1235 0.5664 [4 per cell]
Ho 0.0000 0.2020 0.2520 [4 per cell]
Ho 0.0000 0.2231 0.8679 [4 per cell]
Ho 0.0000 0.4814 0.5662 [4 per cell]
Sc 0.0000 0.3035 0.5606 [4 per cell]

---

Below is crystalline Nd2Dy2HoSc2 at its relaxed geometry, with properties calculated at the GGA-PBE level.

Output
DOS(E_F) in states/eV/atom: 1.699
Spin magnetization in μB/atom: 0.00
V in Å³/f.u.: 215
Energy relative to the elements in eV per atom: 0.109
Energy in eV/atom: -5.0314

Lattice parameters (Å, degrees): 11.3963 3.4391 11.6248 90.00 108.96 90.00
Space group C2/m (No. 12)
Unique sites:
Nd 0.1711 0.0000 0.0896 [4 per cell]
Dy 0.0458 0.0000 0.7656 [4 per cell]
Ho 0.0000 0.5000 0.5000 [2 per cell]
Sc 0.2288 0.5000 0.3706 [4 per cell]

---

Below is crystalline NdDyHo5Sc2 at its relaxed geometry, with properties calculated at the GGA-PBE level.

Output
DOS(E_F) in states/eV/atom: 1.482
Spin magnetization in μB/atom: 0.00
V in Å³/f.u.: 278
Energy relative to the elements in eV per atom: 0.170
Energy in eV/atom: -4.8210

Lattice parameters (Å, degrees): 5.5709 21.3792 9.3249 90.00 90.00 90.00
Space group Cmc2_1 (No. 36)
Unique sites:
Nd 0.0000 0.0976 0.0000 [4 per cell]
Dy 0.0000 0.3113 0.6028 [4 per cell]
Ho 0.0000 0.0313 0.3325 [4 per cell]
Ho 0.0000 0.1093 0.6266 [4 per cell]
Ho 0.0000 0.1930 0.3049 [4 per cell]
Ho 0.0000 0.2348 0.9181 [4 per cell]
Ho 0.0000 0.4919 0.6050 [4 per cell]
Sc 0.0000 0.3576 0.2781 [4 per cell]
Sc 0.0000 0.3866 0.9079 [4 per cell]

---

Below is crystalline Nd6Dy3Ho2Sc at its relaxed geometry, with properties calculated at the GGA-PBE level.

Output
DOS(E_F) in states/eV/atom: 1.100
Spin magnetization in μB/atom: 0.00
V in Å³/f.u.: 389
Energy relative to the elements in eV per atom: 0.023
Energy in eV/atom: -4.8016

Lattice parameters (Å, degrees): 6.2354 10.7983 11.7517 90.00 100.16 90.00
Space group C2/m (No. 12)
Unique sites:
Nd 0.2474 0.1653 0.2471 [8 per cell]
Nd 0.2485 0.0000 0.7527 [4 per cell]
Dy 0.0000 0.1666 0.5000 [4 per cell]
Dy 0.0000 0.5000 0.5000 [2 per cell]
Ho 0.0000 0.3333 0.0000 [4 per cell]
Sc 0.0000 0.0000 0.0000 [2 per cell]

---

Below is crystalline Nd2Dy6Ho3Sc at its relaxed geometry, with properties calculated at the GGA-PBE level.

Output
DOS(E_F) in states/eV/atom: 1.293
Spin magnetization in μB/atom: 0.00
V in Å³/f.u.: 375
Energy relative to the elements in eV per atom: 0.025
Energy in eV/atom: -4.7424

Lattice parameters (Å, degrees): 6.1226 10.6006 11.7437 90.00 99.97 90.00
Space group C2/m (No. 12)
Unique sites:
Nd 0.0000 0.1663 0.0000 [4 per cell]
Dy 0.2468 0.5000 0.7486 [4 per cell]
Dy 0.2485 0.3349 0.2509 [8 per cell]
Ho 0.0000 0.0000 0.5000 [2 per cell]
Ho 0.0000 0.3338 0.5000 [4 per cell]
Sc 0.0000 0.5000 0.0000 [2 per cell]

---

Below is crystalline Nd2DyHo5Sc at its relaxed geometry, with properties calculated at the GGA-PBE level.

Output
DOS(E_F) in states/eV/atom: 1.399
Spin magnetization in μB/atom: 0.00
V in Å³/f.u.: 287
Energy relative to the elements in eV per atom: 0.155
Energy in eV/atom: -4.6623

Lattice parameters (Å, degrees): 5.5441 19.9595 10.3674 90.00 90.00 90.00
Space group Cmc2_1 (No. 36)
Unique sites:
Nd 0.0000 0.1131 0.0000 [4 per cell]
Nd 0.0000 0.1153 0.4206 [4 per cell]
Dy 0.0000 0.4084 0.1446 [4 per cell]
Ho 0.0000 0.0160 0.7028 [4 per cell]
Ho 0.0000 0.2753 0.0064 [4 per cell]
Ho 0.0000 0.2985 0.3886 [4 per cell]
Ho 0.0000 0.3750 0.7054 [4 per cell]
Ho 0.0000 0.4827 0.4268 [4 per cell]
Sc 0.0000 0.1960 0.7002 [4 per cell]

---

Below is crystalline NdDy2HoSc2 at its relaxed geometry, with properties calculated at the GGA-PBE level.

Output
DOS(E_F) in states/eV/atom: 1.748
Spin magnetization in μB/atom: 0.00
V in Å³/f.u.: 183
Energy relative to the elements in eV per atom: 0.278
Energy in eV/atom: -4.9242

Lattice parameters (Å, degrees): 6.2705 17.4525 3.3508 90.00 90.00 90.00
Space group Pnnm (No. 58)
Unique sites:
Nd 0.0000 0.0000 0.0000 [2 per cell]
Dy 0.2190 0.1926 0.0000 [4 per cell]
Ho 0.0000 0.5000 0.0000 [2 per cell]
Sc 0.2158 0.3546 0.5000 [4 per cell]

---

Below is crystalline NdDy6Ho3Sc2 at its relaxed geometry, with properties calculated at the GGA-PBE level.

Output
DOS(E_F) in states/eV/atom: 1.361
Spin magnetization in μB/atom: 0.00
V in Å³/f.u.: 364
Energy relative to the elements in eV per atom: 0.036
Energy in eV/atom: -4.8621

Lattice parameters (Å, degrees): 6.0671 10.4994 11.6107 90.00 99.97 90.00
Space group C2/m (No. 12)
Unique sites:
Nd 0.0000 0.0000 0.0000 [2 per cell]
Dy 0.2466 0.5000 0.2470 [4 per cell]
Dy 0.2489 0.3319 0.7529 [8 per cell]
Ho 0.0000 0.1672 0.5000 [4 per cell]
Ho 0.0000 0.5000 0.5000 [2 per cell]
Sc 0.0000 0.3333 0.0000 [4 per cell]

---

Below is crystalline NdDy2Ho2Sc2 at its relaxed geometry, with properties calculated at the GGA-PBE level.

Output
DOS(E_F) in states/eV/atom: 1.660
Spin magnetization in μB/atom: 0.00
V in Å³/f.u.: 214
Energy relative to the elements in eV per atom: 0.186
Energy in eV/atom: -4.9271

Lattice parameters (Å, degrees): 17.2449 3.3932 8.1603 90.00 116.27 90.00
Space group C2/m (No. 12)
Unique sites:
Nd 0.0000 0.0000 0.0000 [2 per cell]
Dy 0.2123 0.0000 0.2899 [4 per cell]
Ho 0.0730 0.5000 0.4176 [4 per cell]
Sc 0.1506 0.5000 0.8909 [4 per cell]

---

Below is crystalline Nd4DyHo2Sc at its relaxed geometry, with properties calculated at the GGA-PBE level.

Output
DOS(E_F) in states/eV/atom: 1.322
Spin magnetization in μB/atom: 0.00
V in Å³/f.u.: 257
Energy relative to the elements in eV per atom: 0.028
Energy in eV/atom: -4.8666

Lattice parameters (Å, degrees): 5.0943 5.1068 9.8970 90.00 90.00 90.00
Space group Pmmm (No. 47)
Unique sites:
Nd 0.0000 0.0000 0.2447 [2 per cell]
Nd 0.5000 0.5000 0.2449 [2 per cell]
Dy 0.0000 0.5000 0.5000 [1 per cell]
Ho 0.0000 0.5000 0.0000 [1 per cell]
Ho 0.5000 0.0000 0.5000 [1 per cell]
Sc 0.5000 0.0000 0.0000 [1 per cell]

---

- Which of these has the lowest energy?
  Nd2Dy2HoSc2

---

- Which formula does entry 7 have?
  Nd2Dy6Ho3Sc